[1]
# AcSc2Zn, relaxed, DFT PBE-GGA
# E	-18.3	eV per cell
# ΔH_f (0 K)	-0.0734	eV/atom
data_AcSc2Zn
_chemical_formula_sum 'Ac1 Sc2 Zn1'
_space_group_name_H-M_alt 'P 4/m m m'
_space_group_IT_number 123
_space_group_name_Hall '-P 4 2'
_cell_length_a 3.510
_cell_length_b 3.510
_cell_length_c 8.456
_cell_angle_alpha 90.00
_cell_angle_beta 90.00
_cell_angle_gamma 90.00
loop_
_atom_site_label
_atom_site_fract_x
_atom_site_fract_y
_atom_site_fract_z
_atom_site_occupancy
Ac1 0.000 0.000 0.000 1
Sc1 0.500 0.500 0.312 1
Zn1 0.000 0.000 0.500 1


[2]
# Rb4Nd3HfTe8, relaxed, DFT PBE-GGA
# formation energy from raw total energies	-1.250	eV per atom
# E	-219.8	eV per cell
data_Rb4Nd3HfTe8
_chemical_formula_sum 'Rb12 Nd9 Hf3 Te24'
_space_group_name_H-M_alt 'R -3 m'
_space_group_IT_number 166
_space_group_name_Hall '-R 3 2"'
_cell_length_a 9.0596
_cell_length_b 9.0596
_cell_length_c 25.8141
_cell_angle_alpha 90.00
_cell_angle_beta 90.00
_cell_angle_gamma 120.00
loop_
_atom_site_label
_atom_site_fract_x
_atom_site_fract_y
_atom_site_fract_z
_atom_site_occupancy
Rb1 0.0000 0.0000 0.0000 1
Rb2 0.0000 0.5000 0.0000 1
Nd1 0.0000 0.5000 0.5000 1
Hf1 0.0000 0.0000 0.5000 1
Te1 0.0000 0.0000 0.2368 1
Te2 0.0223 0.5111 0.2330 1


> What is the formula in the second record?

Rb4Nd3HfTe8


> The lowest E belongs to which entry?

Rb4Nd3HfTe8


> Number 1 is which compound?

AcSc2Zn


Copy entry 2 word for word.
# Rb4Nd3HfTe8, relaxed, DFT PBE-GGA
# formation energy from raw total energies	-1.250	eV per atom
# E	-219.8	eV per cell
data_Rb4Nd3HfTe8
_chemical_formula_sum 'Rb12 Nd9 Hf3 Te24'
_space_group_name_H-M_alt 'R -3 m'
_space_group_IT_number 166
_space_group_name_Hall '-R 3 2"'
_cell_length_a 9.0596
_cell_length_b 9.0596
_cell_length_c 25.8141
_cell_angle_alpha 90.00
_cell_angle_beta 90.00
_cell_angle_gamma 120.00
loop_
_atom_site_label
_atom_site_fract_x
_atom_site_fract_y
_atom_site_fract_z
_atom_site_occupancy
Rb1 0.0000 0.0000 0.0000 1
Rb2 0.0000 0.5000 0.0000 1
Nd1 0.0000 0.5000 0.5000 1
Hf1 0.0000 0.0000 0.5000 1
Te1 0.0000 0.0000 0.2368 1
Te2 0.0223 0.5111 0.2330 1